An optimized crystal structure of AgOs2I. Source: Alexandria, functional PBE.

density of states at the Fermi level	2.77	states/eV per cell
calculated total energy	-5.25	eV per atom
volume	67.7	Å³/cell
formation energy (no corrections)	5.9	eV per formula unit
energy above the most stable polymorph in this dataset	0	meV/atom
symmetry	No. 225

Geometry as POSCAR:
```
AgOs2I
1.0
-2.1964 -3.9199 0.8625
-4.5691 -0.1508 -0.1852
-2.0788 -2.2528 -3.3966
Os Ag I
2 1 1
direct
0.7500 0.7500 0.7500
0.2500 0.2500 0.2500
0.0000 0.0000 0.0000
0.5000 0.5000 0.5000
```